Density functional theory data (GGA+U) for a geometry-optimized VGe2F8 structure.

Cell lengths 5.120, 7.357, 7.357 Å; angles 43.51, 102.68, 102.68 degrees
Positions (direct):
F (0.604, 0.717, 0.717)
F (0.239, 0.820, 0.324)
F (0.180, 0.902, 0.902)
F (0.761, 0.180, 0.676)
F (0.761, 0.676, 0.180)
F (0.239, 0.324, 0.820)
F (0.396, 0.283, 0.283)
F (0.820, 0.098, 0.098)
Ge (0.762, 0.317, 0.317)
Ge (0.238, 0.683, 0.683)
V (0.000, 0.000, 0.000)

Calculated values
E_tot: -57.7 eV for the cell shown
crystal system: monoclinic